A plane-wave DFT calculation with PBEsol was carried out for a relaxed structure of KSr3.

abc: 4.2416 6.9977 7.4613
angles: 90.00 90.00 90.00
With the nearest neighbours (Å) after each atom.
Space group Pmm2 (No. 25)
Unique sites:
K1 0.0000 0.0000 0.0000 [1 per cell]  2 K 4.24, 10 Sr 4.28-4.31
Sr1 0.0000 0.5000 0.3376 [1 per cell]  10 Sr 4.21-4.38, 2 K 4.31
Sr2 0.5000 0.0000 0.4988 [1 per cell]  8 Sr 4.24-4.26, 4 K 4.28-4.30
Sr3 0.5000 0.5000 0.8243 [1 per cell]  8 Sr 4.21-4.38, 4 K 4.30

Results
* DOS at the Fermi energy: 1.0340 states/eV/atom
* ΔE to the lowest computed polymorph: 0.035 eV per atom
* V: 55.36 A^3/atom

=====

A plane-wave DFT calculation with PBEsol was carried out for a relaxed structure of TaTlP2.

abc: 3.2378 3.2378 8.4722
angles: 90.00 90.00 90.00
With the nearest neighbours (Å) after each atom.
Space group P4mm (No. 99)
Unique sites:
Ta1 0.0000 0.0000 0.0000 [1 per cell]  5 P 2.33-2.48
Tl1 0.5000 0.5000 0.4727 [1 per cell]  5 P 3.04-3.13, 4 Tl 3.24
P1 0.0000 0.0000 0.7247 [1 per cell]  1 Ta 2.33
P2 0.5000 0.5000 0.1136 [1 per cell]  4 Ta 2.48

Results
* DOS at the Fermi energy: 0.4365 states/eV/atom
* ΔE to the lowest computed polymorph: 0.170 eV per atom
* V: 22.20 A^3/atom

=====

A plane-wave DFT calculation with PBEsol was carried out for a relaxed structure of MnHg2HPd.

abc: 5.2153 5.2153 3.1794
angles: 90.00 90.00 90.00
With the nearest neighbours (Å) after each atom.
Space group P4/mmm (No. 123)
Unique sites:
Mn1 0.0000 0.0000 0.0000 [1 per cell]  8 Hg 3.05, 2 Mn 3.18
Hg1 0.0000 0.5000 0.5000 [2 per cell]  2 Pd 2.61
H1 0.5000 0.5000 0.0000 [1 per cell]  2 Pd 1.59
Pd1 0.5000 0.5000 0.5000 [1 per cell]  2 H 1.59

Results
* DOS at the Fermi energy: 0.4528 states/eV/atom
* VASP energy: -3.67 eV/atom
* V: 17.30 A^3/atom

=====

A plane-wave DFT calculation with PBEsol was carried out for a relaxed structure of Cs2ZnGeN.

abc: 6.4095 6.4095 3.8158
angles: 90.00 90.00 90.00
With the nearest neighbours (Å) after each atom.
Space group P4/mmm (No. 123)
Unique sites:
Cs1 0.0000 0.5000 0.0000 [2 per cell]  2 N 3.20
Zn1 0.0000 0.0000 0.5000 [1 per cell]  8 Cs 3.73, 2 Zn 3.82
Ge1 0.5000 0.5000 0.5000 [1 per cell]  2 N 1.91
N1 0.5000 0.5000 0.0000 [1 per cell]  2 Ge 1.91

Results
* DOS at the Fermi energy: 0.6018 states/eV/atom
* E_form (uncorrected): 0.317 eV/atom
* V: 31.35 A^3/atom

=====

A plane-wave DFT calculation with PBEsol was carried out for a relaxed structure of ZnCuRu2.

abc: 2.7558 4.3610 4.3712
angles: 90.00 90.00 90.00
With the nearest neighbours (Å) after each atom.
Space group Pmmm (No. 47)
Unique sites:
Zn1 0.0000 0.0000 0.0000 [1 per cell]  4 Cu 2.58, 4 Ru 2.58, 2 Zn 2.76
Cu1 0.5000 0.5000 0.0000 [1 per cell]  4 Zn 2.58, 4 Ru 2.58, 2 Cu 2.76
Ru1 0.0000 0.5000 0.5000 [1 per cell]  6 Ru 2.58-2.76, 4 Cu 2.58
Ru2 0.5000 0.0000 0.5000 [1 per cell]  6 Ru 2.58-2.76, 4 Zn 2.58

Results
* DOS at the Fermi energy: 1.1771 states/eV/atom
* VASP energy: -6.29 eV/atom
* V: 13.13 A^3/atom

=====

A plane-wave DFT calculation with PBEsol was carried out for a relaxed structure of SrFe2Ni.

abc: 2.9403 4.1079 5.9075
angles: 90.00 101.93 90.00
With the nearest neighbours (Å) after each atom.
Space group P2/m (No. 10)
Unique sites:
Sr1 0.0000 0.0000 0.0000 [1 per cell]  2 Sr 2.94, 2 Ni 3.01, 4 Fe 3.17
Fe1 0.3033 0.5000 0.6506 [2 per cell]  2 Fe 2.24-2.31, 2 Ni 2.36
Ni1 0.5000 0.0000 0.5000 [1 per cell]  4 Fe 2.36

Results
* DOS at the Fermi energy: 1.0870 states/eV/atom
* VASP energy: -5.87 eV/atom
* V: 17.45 A^3/atom

=====

A plane-wave DFT calculation with PBEsol was carried out for a relaxed structure of LiHgPb2.

abc: 3.4218 3.4218 8.1909
angles: 90.00 90.00 90.00
With the nearest neighbours (Å) after each atom.
Space group P4mm (No. 99)
Unique sites:
Li1 0.0000 0.0000 0.0000 [1 per cell]  4 Hg 2.78
Hg1 0.5000 0.5000 0.8327 [1 per cell]  4 Li 2.78
Pb1 0.0000 0.0000 0.5632 [1 per cell]  4 Hg 3.28, 8 Pb 3.42-3.58, 1 Li 3.58
Pb2 0.5000 0.5000 0.2405 [1 per cell]  4 Li 3.12, 1 Hg 3.34, 4 Pb 3.42

Results
* DOS at the Fermi energy: 0.3803 states/eV/atom
* VASP energy: -2.81 eV/atom
* V: 23.98 A^3/atom

=====

A plane-wave DFT calculation with PBEsol was carried out for a relaxed structure of Ga2TePbBr.

abc: 5.3523 5.3523 5.5046
angles: 90.00 90.00 90.00
With the nearest neighbours (Å) after each atom.
Space group P4/mmm (No. 123)
Unique sites:
Ga1 0.0000 0.5000 0.0000 [2 per cell]  2 Br 2.68
Te1 0.0000 0.0000 0.5000 [1 per cell]  2 Br 2.75
Pb1 0.5000 0.5000 0.5000 [1 per cell]  4 Te 3.78, 8 Ga 3.84
Br1 0.0000 0.0000 0.0000 [1 per cell]  4 Ga 2.68, 2 Te 2.75

Results
* DOS at the Fermi energy: 0.3786 states/eV/atom
* E_form (uncorrected): 0.405 eV/atom
* V: 31.54 A^3/atom

=====

A plane-wave DFT calculation with PBEsol was carried out for a relaxed structure of Y5Mg3.

abc: 8.2598 10.3588 5.1958
angles: 90.00 90.00 90.00
With the nearest neighbours (Å) after each atom.
Space group Cmmm (No. 65)
Unique sites:
Y1 0.0000 0.0000 0.0000 [2 per cell]  8 Y 3.31-3.44, 4 Mg 3.56
Y2 0.2266 0.5000 0.5000 [4 per cell]  6 Mg 3.20-3.33, 2 Y 3.44
Y3 0.2500 0.2500 0.0000 [4 per cell]  6 Mg 3.31-3.32, 6 Y 3.31-3.67
Mg1 0.0000 0.2347 0.5000 [4 per cell]  10 Y 3.32-3.56
Mg2 0.0000 0.5000 0.0000 [2 per cell]  8 Y 3.20-3.31

Results
* DOS at the Fermi energy: 1.4590 states/eV/atom
* VASP energy: -4.93 eV/atom
* V: 27.79 A^3/atom

=====

A plane-wave DFT calculation with PBEsol was carried out for a relaxed structure of SrBeSb2I.

abc: 6.1231 6.1231 6.0430
angles: 90.00 90.00 90.00
With the nearest neighbours (Å) after each atom.
Space group P4/mmm (No. 123)
Unique sites:
Sr1 0.0000 0.0000 0.0000 [1 per cell]  2 I 3.02, 4 Sb 3.06
Be1 0.5000 0.5000 0.5000 [1 per cell]  8 Sb 4.30, 4 I 4.33
Sb1 0.0000 0.5000 0.0000 [2 per cell]  2 Sr 3.06
I1 0.0000 0.0000 0.5000 [1 per cell]  2 Sr 3.02

Results
* DOS at the Fermi energy: 1.1523 states/eV/atom
* E_form (uncorrected): 1.023 eV/atom
* V: 45.31 A^3/atom

=====

A plane-wave DFT calculation with PBEsol was carried out for a relaxed structure of CoRe2Tc.

abc: 3.7663 3.7663 3.7474
angles: 90.00 90.00 90.00
With the nearest neighbours (Å) after each atom.
Space group P4/mmm (No. 123)
Unique sites:
Co1 0.0000 0.0000 0.0000 [1 per cell]  8 Re 2.66, 4 Tc 2.66
Re1 0.0000 0.5000 0.5000 [2 per cell]  4 Co 2.66, 4 Tc 2.66, 4 Re 2.66
Tc1 0.5000 0.5000 0.0000 [1 per cell]  8 Re 2.66, 4 Co 2.66

Results
* DOS at the Fermi energy: 0.8303 states/eV/atom
* ΔE to the lowest computed polymorph: 0.000 eV per atom
* V: 13.29 A^3/atom

=====

A plane-wave DFT calculation with PBEsol was carried out for a relaxed structure of NaLi2Pt.

abc: 6.3127 6.3127 6.3127
angles: 90.00 90.00 90.00
With the nearest neighbours (Å) after each atom.
Space group Fm-3m (No. 225)
Unique sites:
Na1 0.0000 0.0000 0.0000 [4 per cell]  8 Li 2.73
Li1 0.2500 0.2500 0.2500 [8 per cell]  4 Na 2.73, 4 Pt 2.73
Pt1 0.0000 0.0000 0.5000 [4 per cell]  8 Li 2.73

Results
* DOS at the Fermi energy: 0.4812 states/eV/atom
* VASP energy: -3.28 eV/atom
* V: 15.72 A^3/atom

=====

A plane-wave DFT calculation with PBEsol was carried out for a relaxed structure of LaMgRh.

abc: 4.4848 4.4848 3.9276
angles: 90.00 90.00 120.00
With the nearest neighbours (Å) after each atom.
Space group P-6m2 (No. 187)
Unique sites:
La1 0.0000 0.0000 0.0000 [1 per cell]  6 Rh 3.25, 6 Mg 3.25
Mg1 0.3333 0.6667 0.5000 [1 per cell]  3 Rh 2.59
Rh1 0.6667 0.3333 0.5000 [1 per cell]  3 Mg 2.59

Results
* DOS at the Fermi energy: 0.4248 states/eV/atom
* VASP energy: -5.39 eV/atom
* V: 22.80 A^3/atom

=====

A plane-wave DFT calculation with PBEsol was carried out for a relaxed structure of Co4CuAg.

abc: 6.5993 6.5993 6.5993
angles: 90.00 90.00 90.00
With the nearest neighbours (Å) after each atom.
Space group F-43m (No. 216)
Unique sites:
Co1 0.1254 0.1254 0.1254 [16 per cell]  6 Co 2.33-2.34
Cu1 0.0000 0.0000 0.5000 [4 per cell]  12 Co 2.74, 4 Ag 2.86
Ag1 0.2500 0.2500 0.7500 [4 per cell]  12 Co 2.74, 4 Cu 2.86

Results
* DOS at the Fermi energy: 1.2547 states/eV/atom
* VASP energy: -6.10 eV/atom
* V: 11.97 A^3/atom

=====

A plane-wave DFT calculation with PBEsol was carried out for a relaxed structure of KBaRh2.

abc: 3.3325 3.3325 28.9743
angles: 90.00 90.00 120.00
With the nearest neighbours (Å) after each atom.
Space group R-3m (No. 166, hexagonal axes)
Unique sites:
K1 0.0000 0.0000 0.0000 [3 per cell]  6 Rh 3.22, 6 K 3.33
Ba1 0.0000 0.0000 0.5000 [3 per cell]  6 Rh 2.96
Rh1 0.0000 0.0000 0.2441 [6 per cell]  3 Ba 2.96, 3 K 3.22

Results
* DOS at the Fermi energy: 0.8513 states/eV/atom
* ΔE to the lowest computed polymorph: 0.589 eV per atom
* V: 23.22 A^3/atom

=====

A plane-wave DFT calculation with PBEsol was carried out for a relaxed structure of Lu3Ga5Ni.

abc: 6.6722 6.6722 4.1029
angles: 90.00 90.00 120.00
With the nearest neighbours (Å) after each atom.
Space group P-62m (No. 189)
Unique sites:
Lu1 0.0000 0.5929 0.0000 [3 per cell]  1 Ni 2.72, 4 Ga 2.88
Ga1 0.0000 0.2363 0.5000 [3 per cell]  2 Ni 2.59, 4 Ga 2.61-2.73
Ga2 0.3333 0.6667 0.5000 [2 per cell]  3 Ga 2.61, 6 Lu 2.88
Ni1 0.0000 0.0000 0.0000 [1 per cell]  6 Ga 2.59, 3 Lu 2.72

Results
* DOS at the Fermi energy: 0.2317 states/eV/atom
* VASP energy: -4.88 eV/atom
* V: 17.58 A^3/atom

=====

A plane-wave DFT calculation with PBEsol was carried out for a relaxed structure of TaZn2Si.

abc: 3.7466 3.9412 8.3675
angles: 90.00 90.00 90.00
With the nearest neighbours (Å) after each atom.
Space group Cmmm (No. 65)
Unique sites:
Ta1 0.0000 0.0000 0.0000 [2 per cell]  4 Ta 2.72, 8 Zn 2.80-2.86
Zn1 0.0000 0.5000 0.2479 [4 per cell]  4 Zn 2.72, 4 Ta 2.80-2.86, 4 Si 2.82-2.89
Si1 0.0000 0.0000 0.5000 [2 per cell]  4 Si 2.72, 8 Zn 2.82-2.89

Results
* DOS at the Fermi energy: 0.5940 states/eV/atom
* E_form (uncorrected): 0.184 eV/atom
* V: 15.44 A^3/atom

=====

A plane-wave DFT calculation with PBEsol was carried out for a relaxed structure of Li4Mn3O7.

abc: 5.2018 5.8698 8.4809
angles: 92.06 93.74 110.49
With the nearest neighbours (Å) after each atom.
Space group P-1 (No. 2)
Unique sites:
Li1 0.0000 0.0000 0.0000 [1 per cell]  4 O 2.05-2.08
Li2 0.0000 0.5000 0.0000 [1 per cell]  6 O 2.00-2.23
Li3 0.1533 0.2837 0.2850 [2 per cell]  5 O 2.06-2.10
Li4 0.2878 0.5688 0.5736 [2 per cell]  6 O 2.01-2.14
Li5 0.4203 0.8482 0.8622 [2 per cell]  6 O 2.05-2.17
Mn1 0.1420 0.7811 0.2824 [2 per cell]  4 O 1.88-1.95
Mn2 0.2850 0.0691 0.5736 [2 per cell]  4 O 1.91-1.93
Mn3 0.4298 0.3582 0.8606 [2 per cell]  6 O 1.89-1.94
O1 0.0236 0.7601 0.4972 [2 per cell]  2 Mn 1.91-1.95, 2 Li 2.08-2.10
O2 0.1599 0.4989 0.7914 [2 per cell]  2 Mn 1.88-1.93, 3 Li 2.00-2.06
O3 0.1625 0.0427 0.7842 [2 per cell]  2 Mn 1.93-1.94, 3 Li 2.05-2.13
O4 0.3080 0.8000 0.0899 [2 per cell]  2 Mn 1.89-1.93, 3 Li 2.00-2.06
O5 0.3112 0.3312 0.0674 [2 per cell]  2 Mn 1.89-1.90, 3 Li 2.06-2.09
O6 0.4035 0.0961 0.3640 [2 per cell]  2 Mn 1.91-1.94, 2 Li 2.07-2.08
O7 0.4493 0.6190 0.3512 [2 per cell]  2 Mn 1.92-1.94, 3 Li 2.06-2.12

Results
* DOS at the Fermi energy: 0.3185 states/eV/atom
* ΔE to the lowest computed polymorph: 0.034 eV per atom
* E_form (uncorrected): -1.871 eV/atom
* V: 8.63 A^3/atom

=====

A plane-wave DFT calculation with PBEsol was carried out for a relaxed structure of Tl2ReTc.

abc: 3.2703 3.2703 6.5714
angles: 90.00 90.00 90.00
With the nearest neighbours (Å) after each atom.
Space group P4/mmm (No. 123)
Unique sites:
Tl1 0.0000 0.0000 0.2481 [2 per cell]  4 Tc 2.83, 4 Re 2.84
Re1 0.5000 0.5000 0.5000 [1 per cell]  8 Tl 2.84
Tc1 0.5000 0.5000 0.0000 [1 per cell]  8 Tl 2.83

Results
* DOS at the Fermi energy: 1.2131 states/eV/atom
* ΔE to the lowest computed polymorph: 0.062 eV per atom
* V: 17.57 A^3/atom

=====

A plane-wave DFT calculation with PBEsol was carried out for a relaxed structure of ScWCl2.

abc: 6.3099 6.3099 6.3099
angles: 90.00 90.00 90.00
With the nearest neighbours (Å) after each atom.
Space group Fm-3m (No. 225)
Unique sites:
Sc1 0.0000 0.0000 0.0000 [4 per cell]  8 Cl 2.73
W1 0.0000 0.0000 0.5000 [4 per cell]  8 Cl 2.73
Cl1 0.2500 0.2500 0.2500 [8 per cell]  4 Sc 2.73, 4 W 2.73

Results
* DOS at the Fermi energy: 0.9829 states/eV/atom
* ΔE to the lowest computed polymorph: 0.444 eV per atom
* E_form (uncorrected): 0.327 eV/atom
* V: 15.70 A^3/atom